No. 1
This record from the Alexandria database describes a relaxed structure of YGa4Pd2. The functional is PBE.

Structure (extended XYZ):
```
28
Lattice="-2.878 0.788 -3.143 -4.694 -2.669 3.629 -3.456 15.757 7.118" Properties=species:S:1:pos:R:3 pbc="T T T"
Y -2.009 5.840 1.811
Y -5.036 1.440 0.491
Y -9.020 8.036 5.794
Y -5.993 12.436 7.114
Ga -2.439 -0.117 0.710
Ga -8.601 11.301 6.229
Ga -4.762 4.777 1.077
Ga -3.334 8.235 3.625
Ga -5.188 0.852 3.471
Ga -4.393 10.318 5.118
Ga -5.841 13.024 4.134
Ga -7.043 -0.846 1.755
Ga -3.985 14.722 5.849
Ga -6.267 9.099 6.528
Ga -7.695 5.641 3.979
Ga -2.427 2.575 1.375
Ga -6.635 3.558 2.487
Ga -6.566 8.286 3.610
Ga -4.462 5.590 3.995
Ga -8.589 13.993 6.894
Pd -3.055 3.982 -0.686
Pd -4.362 -1.287 2.178
Pd -4.169 3.196 3.126
Pd -7.974 9.894 8.290
Pd -6.666 15.163 5.426
Pd -6.859 10.680 4.478
Pd -6.075 6.600 5.725
Pd -4.953 7.276 1.879
```

Properties
N(E_F) = 10.01 states/eV/cell
total magnetic moment = 0.00 μB per formula unit
excess energy over the best structure of this formula in the dataset = 0 meV/atom

=====

No. 2
This record from the Alexandria database describes a relaxed structure of Y2Ga2Pd. The functional is PBE.

Structure (extended XYZ):
```
10
Lattice="4.345 0.000 0.000 2.173 5.339 -0.087 2.173 0.647 9.360" Properties=species:S:1:pos:R:3 pbc="T T T"
Ga 6.518 4.230 5.152
Ga 2.173 1.756 4.121
Ga 2.173 4.554 0.969
Ga 6.518 1.432 8.304
Pd 4.345 0.779 3.214
Pd 4.345 5.207 6.059
Y 2.173 1.468 1.045
Y 4.345 2.103 6.266
Y 4.345 3.883 3.007
Y 6.518 4.518 8.228
```

Properties
N(E_F) = 8.57 states/eV/cell
total magnetic moment = 0.00 μB per formula unit
excess energy over the best structure of this formula in the dataset = 0 meV/atom

=====

No. 3
This record from the Alexandria database describes a relaxed structure of YGa5Pd7. The functional is PBE.

Structure (extended XYZ):
```
13
Lattice="-0.631 -2.200 4.816 1.135 -6.743 0.021 5.721 0.093 3.744" Properties=species:S:1:pos:R:3 pbc="T T T"
Pd 1.665 -6.388 3.204
Pd 3.602 -4.470 7.286
Pd 4.373 -2.352 5.403
Pd 4.382 -5.180 4.112
Pd 1.371 -2.103 2.171
Pd 1.957 -3.738 4.453
Pd 2.131 -6.663 6.092
Ga 4.838 -6.738 6.412
Ga 2.479 -1.093 4.231
Ga 0.271 -4.384 2.438
Ga 2.790 -0.010 1.860
Ga 0.582 -3.301 0.067
Y -0.581 -2.230 4.810
```

Properties
N(E_F) = 5.60 states/eV/cell
total magnetic moment = 0.00 μB per formula unit

=====

No. 4
This record from the Alexandria database describes a relaxed structure of Y2Ga5Pd3. The functional is PBE.

Structure (extended XYZ):
```
20
Lattice="5.718 0.000 0.000 2.859 8.176 0.303 2.859 1.561 8.031" Properties=species:S:1:pos:R:3 pbc="T T T"
Pd 8.577 6.905 4.662
Pd 5.718 5.671 6.103
Pd 5.718 4.066 2.231
Pd 2.859 2.832 3.673
Pd 1.430 0.000 0.000
Pd 4.289 0.000 0.000
Ga 10.007 7.724 6.612
Ga 2.859 1.769 5.919
Ga 4.289 4.868 4.167
Ga 8.577 7.968 2.415
Ga 5.718 3.615 7.500
Ga 7.148 4.868 4.167
Ga 1.430 2.012 1.723
Ga 5.718 6.121 0.835
Ga 7.148 7.724 6.612
Ga 4.289 2.012 1.723
Y 8.577 4.748 7.086
Y 2.859 4.988 1.248
Y 5.718 2.003 4.736
Y 5.718 7.734 3.599
```

Properties
N(E_F) = 9.90 states/eV/cell
total magnetic moment = 0.00 μB per formula unit
excess energy over the best structure of this formula in the dataset = 0 meV/atom

=====

No. 5
This record from the Alexandria database describes a relaxed structure of Y2GaPd5. The functional is PBE.

Structure (extended XYZ):
```
8
Lattice="5.909 -0.022 -0.032 -2.928 5.132 0.032 -2.928 -1.716 4.837" Properties=species:S:1:pos:R:3 pbc="T T T"
Ga -4.991 2.911 4.149
Y -0.054 0.031 3.686
Y -0.054 3.455 1.283
Pd -1.609 2.585 3.683
Pd -1.554 0.906 1.292
Pd -3.042 3.420 1.373
Pd -3.042 0.128 3.683
Pd 1.434 0.941 1.342
```

Properties
N(E_F) = 2.60 states/eV/cell
total magnetic moment = 0.00 μB per formula unit

=====

No. 6
This record from the Alexandria database describes a relaxed structure of Y2Ga5Pd5. The functional is PBE.

Structure (extended XYZ):
```
12
Lattice="-2.295 2.809 2.323 -1.750 -3.970 3.073 7.302 1.222 5.735" Properties=species:S:1:pos:R:3 pbc="T T T"
Ga 3.122 -0.624 7.833
Ga 0.135 0.685 3.299
Ga 1.629 0.031 5.566
Ga -0.725 -1.268 4.811
Ga 3.983 1.329 6.321
Y 3.651 0.611 2.868
Y -0.875 -1.985 1.537
Pd 3.967 -1.175 5.339
Pd 5.923 0.991 4.652
Pd 1.379 0.231 1.083
Pd -1.147 1.405 1.161
Pd 1.586 -1.573 3.469
```

Properties
N(E_F) = 6.90 states/eV/cell
total magnetic moment = 0.00 μB per formula unit

=====

No. 7
This record from the Alexandria database describes a relaxed structure of YGa8Pd4. The functional is PBE.

Structure (extended XYZ):
```
13
Lattice="5.171 0.000 2.078 2.585 6.259 1.039 0.251 0.000 6.846" Properties=species:S:1:pos:R:3 pbc="T T T"
Pd 3.878 3.129 1.559
Pd 1.293 3.129 0.520
Pd 2.711 0.000 4.462
Pd 0.126 0.000 3.423
Ga 1.772 4.077 3.063
Ga 3.341 1.354 6.629
Ga 4.665 4.904 3.335
Ga 2.080 1.354 2.296
Ga 1.065 2.182 4.822
Ga 3.650 4.077 5.861
Ga 5.927 4.904 7.668
Ga 4.357 2.182 4.103
Y 0.000 0.000 0.000
```

Properties
N(E_F) = 4.94 states/eV/cell
total magnetic moment = 0.00 μB per formula unit
excess energy over the best structure of this formula in the dataset = 0 meV/atom

=====

No. 8
This record from the Alexandria database describes a relaxed structure of Y3Ga9Pd2. The functional is PBE.

Structure (extended XYZ):
```
14
Lattice="4.275 0.000 0.000 2.138 7.912 0.122 2.138 1.912 7.678" Properties=species:S:1:pos:R:3 pbc="T T T"
Ga 2.138 4.898 1.179
Ga 2.138 4.912 3.900
Ga 2.138 2.258 4.503
Ga 6.413 7.565 3.297
Ga 6.413 4.926 6.621
Ga 2.138 0.785 2.235
Ga 2.138 2.355 0.258
Ga 6.413 9.039 5.565
Ga 6.413 7.469 7.542
Y 4.275 3.022 2.399
Y 4.275 6.802 5.401
Y 0.000 0.000 0.000
Pd 4.275 6.111 2.390
Pd 4.275 3.713 5.410
```

Properties
N(E_F) = 3.79 states/eV/cell
total magnetic moment = 0.00 μB per formula unit

=====

No. 9
This record from the Alexandria database describes a relaxed structure of Y2Ga2Pd. The functional is PBE.

Structure (extended XYZ):
```
5
Lattice="3.650 0.000 0.000 0.000 3.650 0.000 1.825 1.825 8.609" Properties=species:S:1:pos:R:3 pbc="T T T"
Y 1.825 1.825 1.694
Y 3.650 3.650 6.915
Ga 3.650 1.825 4.304
Ga 1.825 3.650 4.304
Pd 0.000 0.000 0.000
```

Properties
N(E_F) = 4.27 states/eV/cell
total magnetic moment = 0.00 μB per formula unit
excess energy over the best structure of this formula in the dataset = 367 meV/atom

=====

No. 10
This record from the Alexandria database describes a relaxed structure of Y3Ga6Pd5. The functional is PBE.

Structure (extended XYZ):
```
28
Lattice="-2.825 -1.108 -3.079 -5.589 -3.628 6.433 -5.860 11.331 1.300" Properties=species:S:1:pos:R:3 pbc="T T T"
Pd -4.411 -2.864 5.077
Pd -3.652 -0.599 3.566
Pd -7.081 8.528 0.394
Pd -8.710 4.287 6.449
Pd -8.141 8.079 4.562
Pd -5.521 4.347 0.466
Pd -3.059 0.751 -0.498
Pd -6.279 2.083 1.977
Pd -7.651 4.735 2.281
Pd -6.872 0.733 6.041
Y -8.527 2.395 3.927
Y -10.306 5.798 4.334
Y -3.155 2.509 1.992
Y -5.486 7.016 2.509
Y -6.776 -1.026 3.551
Y -1.404 -0.912 1.616
Ga -5.204 1.491 4.238
Ga -8.498 7.283 2.142
Ga -3.169 5.510 0.925
Ga -3.575 3.311 -0.946
Ga -5.355 6.753 -0.551
Ga -6.357 -1.828 6.489
Ga -4.643 -2.651 2.178
Ga -7.294 5.531 4.701
Ga -4.727 -0.008 1.305
Ga -5.289 4.134 3.365
Ga -10.437 6.061 7.394
Ga -6.763 -4.027 4.618
```

Properties
N(E_F) = 13.59 states/eV/cell
total magnetic moment = 0.00 μB per formula unit

=====

No. 11
This record from the Alexandria database describes a relaxed structure of Y6Ga3Pd. The functional is PBE.

Structure (extended XYZ):
```
20
Lattice="-3.438 3.676 -0.200 -2.678 -2.065 8.070 7.670 7.416 4.443" Properties=species:S:1:pos:R:3 pbc="T T T"
Y -0.778 3.183 8.442
Y -0.721 6.653 7.800
Y -3.276 0.769 7.003
Y 2.661 6.337 7.276
Y 2.332 9.256 3.170
Y -1.107 2.690 5.036
Y -0.778 -0.229 9.142
Y 2.275 2.374 4.512
Y 2.333 5.844 3.870
Y 4.830 8.258 5.309
Y 5.211 5.389 9.452
Y -3.657 3.638 2.860
Ga -3.058 0.806 3.935
Ga 3.835 3.708 2.221
Ga -0.196 3.398 2.359
Ga 1.750 5.629 9.953
Ga -3.343 4.115 6.242
Ga 4.897 4.912 6.070
Pd 0.000 0.000 0.000
Pd 0.777 4.514 6.156
```

Properties
N(E_F) = 16.02 states/eV/cell
total magnetic moment = 0.00 μB per formula unit

=====

No. 12
This record from the Alexandria database describes a relaxed structure of YGa2Pd4. The functional is PBE.

Structure (extended XYZ):
```
14
Lattice="-0.490 3.911 -0.221 -5.185 -0.979 -5.825 -5.826 -0.432 5.258" Properties=species:S:1:pos:R:3 pbc="T T T"
Ga -8.203 0.935 -0.521
Ga -5.328 -0.857 -3.356
Ga -5.683 -0.554 2.789
Ga -3.298 1.564 -0.268
Pd -2.329 -0.220 1.274
Pd -7.000 0.961 -2.729
Pd -4.239 1.315 -2.587
Pd -8.842 -1.054 0.938
Pd -7.262 1.185 1.798
Pd -2.169 -0.357 -1.505
Pd -8.682 -1.192 -1.841
Pd -4.501 1.538 1.941
Y -5.506 -0.706 -0.284
Y -0.245 1.955 -0.111
```

Properties
N(E_F) = 5.53 states/eV/cell
total magnetic moment = 0.00 μB per formula unit
excess energy over the best structure of this formula in the dataset = 32 meV/atom

=====

No. 13
This record from the Alexandria database describes a relaxed structure of Y2Ga8Pd. The functional is PBE.

Structure (extended XYZ):
```
11
Lattice="4.337 0.000 0.000 0.000 4.337 0.000 0.000 0.000 11.158" Properties=species:S:1:pos:R:3 pbc="T T T"
Ga 2.168 0.000 5.579
Ga 0.000 2.168 9.753
Ga 0.000 2.168 5.579
Ga 2.168 0.000 1.406
Ga 2.168 2.168 3.407
Ga 2.168 2.168 7.751
Ga 2.168 0.000 9.753
Ga 0.000 2.168 1.406
Y 0.000 0.000 3.466
Y 0.000 0.000 7.693
Pd 0.000 0.000 0.000
```

Properties
N(E_F) = 6.45 states/eV/cell
total magnetic moment = 0.00 μB per formula unit

=====

No. 14
This record from the Alexandria database describes a relaxed structure of YZnGa2Pd2. The functional is PBE.

Structure (extended XYZ):
```
6
Lattice="-0.286 2.142 3.760 -3.603 -1.101 -2.148 -0.187 -5.734 3.252" Properties=species:S:1:pos:R:3 pbc="T T T"
Ga -1.441 -0.442 2.643
Ga -2.636 -4.251 2.221
Pd -2.560 -1.948 0.915
Pd -1.516 -2.745 3.949
Zn -0.094 -2.867 1.626
Y 0.000 0.000 0.000
```

Properties
N(E_F) = 3.33 states/eV/cell
total magnetic moment = 0.00 μB per formula unit

=====

No. 15
This record from the Alexandria database describes a relaxed structure of YZnGa2Pd. The functional is PBE.

Structure (extended XYZ):
```
5
Lattice="4.179 0.000 0.000 0.000 4.179 0.000 -2.089 -2.089 5.308" Properties=species:S:1:pos:R:3 pbc="T T T"
Pd 2.089 0.000 2.654
Ga 2.089 2.089 1.225
Ga 0.000 0.000 4.083
Zn 0.000 2.089 2.654
Y 0.000 0.000 0.000
```

Properties
N(E_F) = 2.68 states/eV/cell
total magnetic moment = 0.00 μB per formula unit
excess energy over the best structure of this formula in the dataset = 0 meV/atom

=====

No. 16
This record from the Alexandria database describes a relaxed structure of Y2ZnGa3Pd4. The functional is PBE.

Structure (extended XYZ):
```
10
Lattice="4.042 0.000 0.000 0.000 4.042 0.000 0.000 0.000 11.375" Properties=species:S:1:pos:R:3 pbc="T T T"
Y 0.000 2.021 8.465
Y 2.021 0.000 2.911
Pd 0.000 2.021 4.025
Pd 2.021 2.021 0.000
Pd 0.000 0.000 0.000
Pd 2.021 0.000 7.351
Ga 0.000 2.021 1.529
Ga 0.000 0.000 5.688
Ga 2.021 0.000 9.846
Zn 2.021 2.021 5.688
```

Properties
N(E_F) = 6.37 states/eV/cell
total magnetic moment = 0.00 μB per formula unit

=====

No. 17
This record from the Alexandria database describes a relaxed structure of YZnGa2Pd. The functional is PBE.

Structure (extended XYZ):
```
5
Lattice="4.576 0.000 0.000 0.000 4.576 0.000 0.000 0.000 5.431" Properties=species:S:1:pos:R:3 pbc="T T T"
Ga 0.000 2.288 0.000
Ga 2.288 0.000 0.000
Y 0.000 0.000 2.716
Zn 0.000 0.000 0.000
Pd 2.288 2.288 2.716
```

Properties
N(E_F) = 2.51 states/eV/cell
total magnetic moment = 0.00 μB per formula unit
excess energy over the best structure of this formula in the dataset = 793 meV/atom

=====

No. 18
This record from the Alexandria database describes a relaxed structure of Y2ZnGa2Pd5. The functional is PBE.

Structure (extended XYZ):
```
20
Lattice="-0.375 -1.595 -3.174 2.952 -8.691 4.018 -9.517 -2.201 2.230" Properties=species:S:1:pos:R:3 pbc="T T T"
Pd -4.946 -1.898 -0.472
Pd -4.600 -4.622 0.856
Pd 1.288 -5.143 0.422
Pd -7.627 -3.047 0.422
Pd -6.809 -9.820 3.729
Pd -0.132 -2.667 -0.654
Pd -5.215 -7.176 2.212
Pd -1.725 -5.311 0.863
Pd 0.686 -9.440 2.653
Pd -2.340 -7.865 2.219
Ga -5.581 -2.465 1.898
Ga -0.086 -3.533 1.785
Ga -6.479 -7.360 4.463
Ga -0.985 -8.427 4.351
Zn -3.283 -5.446 3.124
Zn 0.000 0.000 0.000
Y -6.894 -4.643 3.147
Y -3.986 -8.658 4.821
Y -2.580 -2.235 1.427
Y 0.329 -6.249 3.101
```

Properties
N(E_F) = 12.39 states/eV/cell
total magnetic moment = 0.00 μB per formula unit

=====

No. 19
This record from the Alexandria database describes a relaxed structure of YZnGa2Pd5. The functional is PBE.

Structure (extended XYZ):
```
9
Lattice="4.119 0.000 0.000 0.000 4.119 0.000 0.000 0.000 9.367" Properties=species:S:1:pos:R:3 pbc="T T T"
Pd 2.059 0.000 2.580
Pd 0.000 2.059 6.787
Pd 0.000 2.059 2.580
Pd 2.059 2.059 4.684
Pd 2.059 0.000 6.787
Ga 2.059 2.059 1.205
Ga 2.059 2.059 8.162
Zn 0.000 0.000 0.000
Y 0.000 0.000 4.684
```

Properties
N(E_F) = 2.76 states/eV/cell
total magnetic moment = 0.00 μB per formula unit

=====

Number 1: formation energy -15.8 kcal/mol of atoms. Number 2: formation energy -18.2 kcal/mol of atoms. Number 3: formation energy -14.6 kcal/mol of atoms. Number 4: formation energy -17.8 kcal/mol of atoms. Number 5: formation energy -18.4 kcal/mol of atoms. Number 6: formation energy -17.5 kcal/mol of atoms. Number 7: formation energy -12.6 kcal/mol of atoms. Number 8: formation energy -15.2 kcal/mol of atoms. Number 9: formation energy -9.7 kcal/mol of atoms. Number 10: formation energy -18.8 kcal/mol of atoms. Number 11: formation energy -11.4 kcal/mol of atoms. Number 12: formation energy -17.1 kcal/mol of atoms. Number 13: formation energy -11.9 kcal/mol of atoms. Number 14: formation energy -15.5 kcal/mol of atoms. Number 15: formation energy -14.3 kcal/mol of atoms. Number 16: formation energy -17.4 kcal/mol of atoms. Number 17: formation energy 4.0 kcal/mol of atoms. Number 18: formation energy -16.2 kcal/mol of atoms. Number 19: formation energy -12.4 kcal/mol of atoms.